(1)
! U2ReOs, relaxed, DFT PBE; values from VASP
! - symmetry = P4/mmm
! - formation energy (eV/atom) = 0.119
&SYSTEM
  ibrav = 0, nat = 4, ntyp = 3
/
ATOMIC_SPECIES
U 238.03 U.upf
Re 186.21 Re.upf
Os 190.23 Os.upf
ATOMIC_POSITIONS crystal
U 0.0000 0.5000 0.0000
U 0.5000 0.0000 0.0000
Re 0.0000 0.0000 0.5000
Os 0.5000 0.5000 0.5000
CELL_PARAMETERS angstrom
4.5506 0.0000 0.0000
0.0000 4.5506 0.0000
0.0000 0.0000 3.7114

(2)
! U5ReOs, relaxed, DFT PBE; values from VASP
! - symmetry = C2/c
! - formation energy (eV/atom) = 0.091
&SYSTEM
  ibrav = 0, nat = 14, ntyp = 3
/
ATOMIC_SPECIES
U 238.03 U.upf
Re 186.21 Re.upf
Os 190.23 Os.upf
ATOMIC_POSITIONS crystal
U 0.1285 0.3097 0.5149
U 0.1571 0.4919 0.1727
U 0.2240 0.7760 0.7500
U 0.3097 0.1285 0.0149
U 0.4919 0.1571 0.6727
U 0.5081 0.8429 0.3273
U 0.6903 0.8715 0.9851
U 0.7760 0.2240 0.2500
U 0.8429 0.5081 0.8273
U 0.8715 0.6903 0.4851
Re 0.0987 0.9013 0.2500
Re 0.9013 0.0987 0.7500
Os 0.5000 0.5000 0.0000
Os 0.5000 0.5000 0.5000
CELL_PARAMETERS angstrom
5.0579 -4.9915 0.0000
5.0579 4.9915 0.0000
-1.7625 0.0000 5.4833

(3)
! UReOs2, relaxed, DFT PBE; values from VASP
! - symmetry = R-3m
! - distance to the lowest polymorph of the same formula (meV/atom) = 560.7
! - formation energy (eV/atom) = 0.515
&SYSTEM
  ibrav = 0, nat = 4, ntyp = 3
/
ATOMIC_SPECIES
U 238.03 U.upf
Re 186.21 Re.upf
Os 190.23 Os.upf
ATOMIC_POSITIONS crystal
U 0.0000 0.0000 0.0000
Re 0.5000 0.5000 0.5000
Os 0.0921 0.0921 0.0921
Os 0.9079 0.9079 0.9079
CELL_PARAMETERS angstrom
1.3983 0.8073 9.7557
-1.3983 0.8073 9.7557
0.0000 -1.6147 9.7557

Which density belongs to each record? In order, 18.419, 18.791, 20.221 g/cm³.